DFT (GGA-PBE) results for an optimized crystal structure of CuBiPb2.

Values from the calculation:
Space-group type ... P4/mmm, No. 123
Calculated total energy ... -3.690 eV/atom
Calculated formation energy ... 158 meV per atom
V ... 106.9 Å³/cell

Unit cell a=3.379 b=3.379 c=9.367 alpha=90.00 beta=90.00 gamma=90.00
Element x y z (fractional)
Cu: 0.000 0.000 0.000
Bi: 0.000 0.000 0.500
Pb: 0.500 0.500 0.195
Pb: 0.500 0.500 0.805